(1)
Material: Pu3As4Ir2
Method: DFT, PBE
State: optimized geometry

It has space group C2/m (No. 12), with a = 11.003 Å, b = 4.382 Å, c = 8.023 Å, α = 90.00°, β = 103.14° and γ = 90.00°. The inequivalent atoms are Pu at (0.000, 0.000, 0.000), Pu at (0.159, 0.500, 0.668), As at (0.084, 0.000, 0.402), As at (0.235, 0.500, 0.078) and Ir at (0.090, 0.500, 0.268).

As for the energy of formation: -0.6517 eV/atom. The volume comes out at 376.7 Å³/cell. The crystal system is monoclinic.



(2)
Material: PuAsIr
Method: DFT, PBE
State: optimized geometry

It has space group P-6m2 (No. 187), with a = 4.2826 Å, b = 4.2826 Å, c = 3.7930 Å, α = 90.00°, β = 90.00° and γ = 120.00°. The inequivalent atoms are Pu at (0.0000, 0.0000, 0.0000), As at (0.3333, 0.6667, 0.5000) and Ir at (0.6667, 0.3333, 0.5000).

As for the energy of formation: -0.6735 eV/atom. The volume comes out at 60.2 Å³/cell. The crystal system is hexagonal.



What did the second record say?
Material: PuAsIr
Method: DFT, PBE
State: optimized geometry

It has space group P-6m2 (No. 187), with a = 4.2826 Å, b = 4.2826 Å, c = 3.7930 Å, α = 90.00°, β = 90.00° and γ = 120.00°. The inequivalent atoms are Pu at (0.0000, 0.0000, 0.0000), As at (0.3333, 0.6667, 0.5000) and Ir at (0.6667, 0.3333, 0.5000).

As for the energy of formation: -0.6735 eV/atom. The volume comes out at 60.2 Å³/cell. The crystal system is hexagonal.



Question: Among the records above, which one has the lowest volume?
Answer: PuAsIr



Question: The lowest energy of formation belongs to which entry?
Answer: PuAsIr